[1]
The following is a GGA-PBE calculation of a geometry-optimized Nd5Ga2Pb2 structure, from Alexandria via LeMat-Bulk.

## Properties
DFT total energy   -84.079 eV/cell
Space group   Cmce (64)
Formation energy   -456 kJ/mol of formula units
Spin magnetization   0.0 μB/f.u.

Cell lengths 8.147, 8.277, 9.091 Å; angles 117.08, 90.00, 90.00 degrees
Atoms (fractional coordinates):
Nd 0.000 0.000 0.000
Nd 0.500 0.500 0.000
Nd 0.826 0.813 0.265
Nd 0.174 0.453 0.265
Nd 0.326 0.953 0.265
Nd 0.674 0.313 0.265
Nd 0.174 0.187 0.735
Nd 0.826 0.547 0.735
Nd 0.674 0.047 0.735
Nd 0.326 0.687 0.735
Ga 0.617 0.884 0.000
Ga 0.383 0.116 0.000
Ga 0.117 0.616 0.000
Ga 0.883 0.384 0.000
Pb 0.000 0.212 0.424
Pb 0.500 0.712 0.424
Pb 0.000 0.788 0.576
Pb 0.500 0.288 0.576

***

[2]
The following is a GGA-PBE calculation of a geometry-optimized NdGaPdPb structure, from Alexandria via LeMat-Bulk.

## Properties
DFT total energy   -18.723 eV/cell
Space group   F-43m (216)
Formation energy   -196 kJ/mol of formula units
Spin magnetization   0.0 μB/f.u.

Cell lengths 5.052, 5.052, 5.052 Å; angles 60.00, 60.00, 60.00 degrees
Atoms (fractional coordinates):
Pb 0.250 0.250 0.250
Nd 0.750 0.750 0.750
Ga 0.000 0.000 0.000
Pd 0.500 0.500 0.500

***

[3]
The following is a GGA-PBE calculation of a geometry-optimized PmNdGaPb structure, from Alexandria via LeMat-Bulk.

## Properties
DFT total energy   -18.128 eV/cell
Space group   F-43m (216)
Formation energy   -181 kJ/mol of formula units
Spin magnetization   0.0 μB/f.u.

Cell lengths 5.407, 5.407, 5.407 Å; angles 60.00, 60.00, 60.00 degrees
Atoms (fractional coordinates):
Pb 0.750 0.750 0.750
Nd 0.000 0.000 0.000
Ga 0.250 0.250 0.250
Pm 0.500 0.500 0.500

***

[4]
The following is a GGA-PBE calculation of a geometry-optimized Nd2Ga2Rh5Pb structure, from Alexandria via LeMat-Bulk.

## Properties
DFT total energy   -125.741 eV/cell
Space group   P4/mbm (127)
Formation energy   -658 kJ/mol of formula units
Spin magnetization   0.0 μB/f.u.

Cell lengths 3.677, 10.002, 10.002 Å; angles 90.00, 90.00, 90.00 degrees
Atoms (fractional coordinates):
Nd 0.000 0.676 0.176
Nd 0.000 0.324 0.824
Nd 0.000 0.176 0.324
Nd 0.000 0.824 0.676
Ga 0.000 0.120 0.620
Ga 0.000 0.880 0.380
Ga 0.000 0.620 0.880
Ga 0.000 0.380 0.120
Rh 0.500 0.213 0.069
Rh 0.500 0.787 0.931
Rh 0.500 0.069 0.787
Rh 0.500 0.713 0.431
Rh 0.500 0.931 0.213
Rh 0.500 0.287 0.569
Rh 0.500 0.569 0.713
Rh 0.500 0.431 0.287
Rh 0.500 0.500 0.000
Rh 0.500 0.000 0.500
Pb 0.000 0.000 0.000
Pb 0.000 0.500 0.500

***

[5]
The following is a GGA-PBE calculation of a geometry-optimized NdGaPbS4 structure, from Alexandria via LeMat-Bulk.

## Properties
DFT total energy   -71.064 eV/cell
Space group   P2_1/m (11)
Spin magnetization   0.0 μB/f.u.

Cell lengths 6.659, 6.679, 8.067 Å; angles 90.00, 106.94, 90.00 degrees
Atoms (fractional coordinates):
Nd 0.771 0.750 0.440
Nd 0.229 0.250 0.560
Ga 0.236 0.750 0.310
Ga 0.764 0.250 0.690
Pb 0.746 0.750 0.929
Pb 0.254 0.250 0.071
S 0.998 0.508 0.738
S 0.002 0.008 0.262
S 0.002 0.492 0.262
S 0.998 0.992 0.738
S 0.435 0.750 0.127
S 0.565 0.250 0.873
S 0.434 0.750 0.594
S 0.566 0.250 0.406

***

[6]
The following is a GGA-PBE calculation of a geometry-optimized NdScGaPb structure, from Alexandria via LeMat-Bulk.

## Properties
DFT total energy   -19.373 eV/cell
Space group   F-43m (216)
Formation energy   -148 kJ/mol of formula units
Spin magnetization   0.0 μB/f.u.

Cell lengths 5.232, 5.232, 5.232 Å; angles 60.00, 60.00, 60.00 degrees
Atoms (fractional coordinates):
Pb 0.500 0.500 0.500
Sc 0.250 0.250 0.250
Nd 0.750 0.750 0.750
Ga 0.000 0.000 0.000

***

[7]
The following is a GGA-PBE calculation of a geometry-optimized SrNdGaPb structure, from Alexandria via LeMat-Bulk.

## Properties
DFT total energy   -14.815 eV/cell
Space group   F-43m (216)
Formation energy   -157 kJ/mol of formula units
Spin magnetization   0.0 μB/f.u.

Cell lengths 5.551, 5.551, 5.551 Å; angles 60.00, 60.00, 60.00 degrees
Atoms (fractional coordinates):
Pb 0.750 0.750 0.750
Sr 0.500 0.500 0.500
Nd 0.000 0.000 0.000
Ga 0.250 0.250 0.250

***

[8]
The following is a GGA-PBE calculation of a geometry-optimized Nd4GaTe2Pb structure, from Alexandria via LeMat-Bulk.

## Properties
DFT total energy   -39.969 eV/cell
Space group   P2/m (10)
Spin magnetization   0.0 μB/f.u.

Cell lengths 4.401, 7.615, 8.035 Å; angles 108.47, 90.00, 90.00 degrees
Atoms (fractional coordinates):
Nd 0.500 0.255 0.244
Nd 0.500 0.745 0.756
Nd 0.000 0.259 0.759
Nd 0.000 0.741 0.241
Ga 0.500 0.500 0.000
Te 0.500 0.000 0.500
Te 0.000 0.500 0.500
Pb 0.000 0.000 0.000

***

[9]
The following is a GGA-PBE calculation of a geometry-optimized Nd2GaTe6Pb3 structure, from Alexandria via LeMat-Bulk.

## Properties
DFT total energy   -51.068 eV/cell
Space group   C2/m (12)
Spin magnetization   0.0 μB/f.u.

Cell lengths 4.537, 9.288, 10.256 Å; angles 103.68, 102.78, 90.00 degrees
Atoms (fractional coordinates):
Nd 0.833 0.655 0.666
Nd 0.167 0.345 0.334
Ga 0.500 0.000 0.000
Te 0.332 0.901 0.663
Te 0.669 0.591 0.338
Te 0.668 0.099 0.337
Te 0.005 0.246 0.009
Te 0.995 0.754 0.991
Te 0.331 0.409 0.662
Pb 0.500 0.500 0.000
Pb 0.840 0.151 0.680
Pb 0.160 0.849 0.320

***

[10]
The following is a GGA-PBE calculation of a geometry-optimized NdYGaPb structure, from Alexandria via LeMat-Bulk.

## Properties
DFT total energy   -19.800 eV/cell
Space group   F-43m (216)
Formation energy   -177 kJ/mol of formula units
Spin magnetization   0.0 μB/f.u.

Cell lengths 5.356, 5.356, 5.356 Å; angles 60.00, 60.00, 60.00 degrees
Atoms (fractional coordinates):
Pb 0.500 0.500 0.500
Y 0.250 0.250 0.250
Nd 0.750 0.750 0.750
Ga 0.000 0.000 0.000

***

[11]
The following is a GGA-PBE calculation of a geometry-optimized NdGaPd2 structure, from Alexandria via LeMat-Bulk.

## Properties
DFT total energy   -20.502 eV/cell
Space group   P4/mmm (123)
Formation energy   -224 kJ/mol of formula units
Spin magnetization   0.0 μB/f.u.

Cell lengths 3.744, 4.591, 4.591 Å; angles 90.00, 90.00, 90.00 degrees
Atoms (fractional coordinates):
Nd 0.500 0.500 0.500
Ga 0.500 0.000 0.000
Pd 0.000 0.000 0.500
Pd 0.000 0.500 0.000

***

[12]
The following is a GGA-PBE calculation of a geometry-optimized Nd2GaPd3 structure, from Alexandria via LeMat-Bulk.

## Properties
DFT total energy   -65.606 eV/cell
Space group   Fmmm (69)
Formation energy   -450 kJ/mol of formula units
Spin magnetization   0.0 μB/f.u.

Cell lengths 5.878, 5.878, 8.603 Å; angles 105.92, 105.92, 101.36 degrees
Atoms (fractional coordinates):
Nd 0.250 0.750 0.500
Nd 0.753 0.753 0.000
Nd 0.750 0.250 0.500
Nd 0.247 0.247 0.000
Ga 0.668 0.668 0.336
Ga 0.332 0.332 0.664
Pd 0.350 0.824 0.174
Pd 0.176 0.650 0.826
Pd 0.650 0.176 0.826
Pd 0.824 0.350 0.174
Pd 0.171 0.171 0.342
Pd 0.829 0.829 0.658